(1)
A relaxed structure of Pr6NiBr12, computed with PBE-GGA.

Output
Theoretical density: 5158 kg/m3
Energy relative to the elements, uncorrected: -27.9 eV per formula unit
Electronic total energy: -4.34 eV/atom
DOS at the Fermi energy: 8.7 states/eV per cell
Volume: 599.7 Å³/cell

extended XYZ file:
```
19
Lattice="5.306 3.063 6.149 -5.306 3.063 6.149 0.000 -6.127 6.149" Properties=species:S:1:pos:R:3 pbc="T T T"
Pr 0.000 -2.577 7.609
Pr -2.232 1.288 7.609
Pr -2.232 -1.288 10.839
Pr 2.232 1.288 7.609
Pr 2.232 -1.288 10.839
Pr 0.000 2.577 10.839
Ni 0.000 0.000 9.224
Br 0.000 -3.810 4.773
Br -3.299 1.905 4.773
Br -2.844 -1.642 7.895
Br -3.299 -1.905 13.674
Br 0.000 -3.284 10.552
Br -2.844 1.642 10.552
Br 2.844 -1.642 7.895
Br 0.000 3.284 7.895
Br 3.299 1.905 4.773
Br 2.844 1.642 10.552
Br 3.299 -1.905 13.674
Br 0.000 3.810 13.674
```

=====

(2)
A relaxed structure of NbCu2Cl, computed with PBE-GGA.

Output
Theoretical density: 6653 kg/m3
Energy relative to the elements, uncorrected: 1.7 eV per formula unit
Electronic total energy: -4.61 eV/atom
DOS at the Fermi energy: 6.9 states/eV per cell
Volume: 127.5 Å³/cell

extended XYZ file:
```
8
Lattice="-3.612 3.612 2.443 3.612 -3.612 2.443 3.612 3.612 -2.443" Properties=species:S:1:pos:R:3 pbc="T T T"
Nb 0.000 0.000 0.000
Nb 0.000 3.612 1.222
Cu 1.806 -1.684 1.832
Cu 1.929 1.806 0.611
Cu 1.806 5.296 -0.611
Cu 1.684 1.806 3.054
Cl 3.612 0.000 1.222
Cl 0.000 0.000 2.443
```

=====

(3)
A relaxed structure of Pm4InRh, computed with PBE-GGA.

Output
Theoretical density: 7724 kg/m3
Energy of formation from the pure elements: -2.96 eV per formula unit
Electronic total energy: -5.34 eV/atom
DOS at the Fermi energy: 18.9 states/eV per cell
Volume: 686.0 Å³/cell

extended XYZ file:
```
24
Lattice="0.000 7.000 7.000 7.000 0.000 7.000 7.000 7.000 0.000" Properties=species:S:1:pos:R:3 pbc="T T T"
Pm 7.000 7.000 2.637
Pm 7.000 2.637 7.000
Pm 11.363 7.000 7.000
Pm 5.610 5.610 5.610
Pm 8.390 8.390 5.610
Pm 8.390 5.610 8.390
Pm 10.500 10.500 7.819
Pm 10.500 7.819 10.500
Pm 13.181 10.500 10.500
Pm 5.610 8.390 8.390
Pm 2.637 7.000 7.000
Pm 7.000 11.363 7.000
Pm 7.000 7.000 11.363
Pm 7.819 10.500 10.500
Pm 10.500 13.181 10.500
Pm 10.500 10.500 13.181
In 2.360 2.360 2.360
In 4.640 4.640 2.360
In 4.640 2.360 4.640
In 2.360 4.640 4.640
Rh 8.513 5.487 5.487
Rh 5.487 8.513 5.487
Rh 5.487 5.487 8.513
Rh 8.513 8.513 8.513
```

=====

(4)
A relaxed structure of BaRhPb4, computed with PBE-GGA.

Output
Theoretical density: 9341 kg/m3
Energy of formation from the pure elements: 1.32 eV per formula unit
Electronic total energy: -3.80 eV/atom
DOS at the Fermi energy: 4.6 states/eV per cell
Volume: 190.0 Å³/cell

extended XYZ file:
```
6
Lattice="0.000 4.563 4.563 4.563 0.000 4.563 4.563 4.563 0.000" Properties=species:S:1:pos:R:3 pbc="T T T"
Ba 0.000 0.000 0.000
Rh 2.282 2.282 2.282
Pb 5.694 3.432 3.432
Pb 3.432 5.694 3.432
Pb 3.432 3.432 5.694
Pb 5.694 5.694 5.694
```

=====

(5)
A relaxed structure of CdRhCl2, computed with PBE-GGA.

Output
Theoretical density: 5774 kg/m3
Energy relative to the elements, uncorrected: 0.0 eV per formula unit
Electronic total energy: -2.99 eV/atom
DOS at the Fermi energy: 4.4 states/eV per cell
Volume: 82.3 Å³/cell

extended XYZ file:
```
4
Lattice="1.532 0.884 10.127 -1.532 0.884 10.127 0.000 -1.769 10.127" Properties=species:S:1:pos:R:3 pbc="T T T"
Cd 0.000 0.000 0.000
Rh 0.000 0.000 15.191
Cl 0.000 0.000 12.963
Cl 0.000 0.000 17.418
```

=====

(6)
A relaxed structure of LiMg2Pb, computed with PBE-GGA.

Output
Theoretical density: 4643 kg/m3
Energy of formation from the pure elements: -0.34 eV per formula unit
Electronic total energy: -2.29 eV/atom
DOS at the Fermi energy: 1.6 states/eV per cell
Volume: 94.0 Å³/cell

extended XYZ file:
```
4
Lattice="5.033 -1.634 0.000 5.033 1.634 0.000 -0.958 0.000 5.713" Properties=species:S:1:pos:R:3 pbc="T T T"
Li 0.000 0.000 0.000
Mg 4.578 0.000 2.792
Mg 7.329 0.000 1.394
Pb 1.814 0.000 4.363
```

=====

Q: What is the formula in the fourth record?
A: BaRhPb4

=====

Q: The highest DOS at the Fermi energy belongs to which entry?
A: Pm4InRh

=====

Q: Number 5 is which compound?
A: CdRhCl2

=====

Copy entry 6 word for word.
A relaxed structure of LiMg2Pb, computed with PBE-GGA.

Output
Theoretical density: 4643 kg/m3
Energy of formation from the pure elements: -0.34 eV per formula unit
Electronic total energy: -2.29 eV/atom
DOS at the Fermi energy: 1.6 states/eV per cell
Volume: 94.0 Å³/cell

extended XYZ file:
```
4
Lattice="5.033 -1.634 0.000 5.033 1.634 0.000 -0.958 0.000 5.713" Properties=species:S:1:pos:R:3 pbc="T T T"
Li 0.000 0.000 0.000
Mg 4.578 0.000 2.792
Mg 7.329 0.000 1.394
Pb 1.814 0.000 4.363
```